Compound: Ir2PbF
Source: the Alexandria database
Functional: SCAN
Structure: PBEsol geometry

The calculation puts the density of states at the Fermi level at 12.3 states/eV/cell. The formation energy without anion corrections comes out at 0.587 eV/atom.

The structure belongs to space group Fm-3m (No. 225); the cell edges are 6.267, 6.267 and 6.267 Å and the angles 90.00°, 90.00° and 90.00°. The asymmetric unit holds Ir at (0.250, 0.250, 0.250), Pb at (0.000, 0.000, 0.000) and F at (0.000, 0.000, 0.500).

Compound: IrPbF2
Source: the Alexandria database
Functional: SCAN
Structure: PBEsol geometry

The calculation puts the density of states at the Fermi level at 9.8 states/eV/cell. The formation energy without anion corrections comes out at -0.187 eV/atom.

The structure belongs to space group Fm-3m (No. 225); the cell edges are 6.187, 6.187 and 6.187 Å and the angles 90.00°, 90.00° and 90.00°. The asymmetric unit holds Ir at (0.000, 0.000, 0.000), Pb at (0.000, 0.000, 0.500) and F at (0.250, 0.250, 0.250).